Sn2SbPd | PBE | optimized geometry

a = 6.2759 Å, b = 6.2759 Å, c = 7.9337 Å
α = 66.70°, β = 66.70°, γ = 90.00°
Last column: nearest neighbours and their distance in Å.
Fractional positions:
Sn (0.3750, 0.4212, 0.7500)  2 Pd 2.61
Sn (0.5788, 0.1250, 0.2500)  2 Pd 2.61
Sn (0.1712, 0.6250, 0.2500)  2 Pd 2.61
Sb (0.0000, 0.0000, 0.0000)  4 Sn 2.94
Sb (0.7500, 0.2500, 0.5000)  4 Sn 2.94
Sn (0.8750, 0.8288, 0.7500)  2 Pd 2.61
Pd (0.2500, 0.7500, 0.5000)  4 Sn 2.61
Pd (0.5000, 0.5000, 0.0000)  4 Sn 2.61

Results
The raw formation energy comes out at -31 meV/atom. For the total magnetic moment, the calculation gives 0.00 μB per cell. For the energy, the calculation gives -34.89 eV/cell.